1.
Computed, not measured: a relaxed structure of Gd2Y3Tm3 at the PBE level of DFT.

The total energy is -5.2599 eV/atom. The formation energy comes out at 0.006 eV per atom. For the calculated volume, the calculation gives 31.82 A^3/atom. Its total magnetic moment is 0.146 μB/cell.

The space group is P-6m2 (No. 187) and the conventional cell measures 7.2205, 7.2205 and 5.6389 Å, with angles of 90.00, 90.00 and 120.00 degrees. The distinct sites, in fractional coordinates, are Gd at (0.0000, 0.0000, 0.0000), Gd at (0.3333, 0.6667, 0.5000), Y at (0.5007, 0.0015, 0.0000) and Tm at (0.3348, 0.1674, 0.5000).

2.
Computed, not measured: a relaxed structure of CuGeTe at the PBE level of DFT.

The total energy is -3.3779 eV/atom. For the calculated volume, the calculation gives 24.52 A^3/atom.

The space group is F-43m (No. 216) and the conventional cell measures 6.651, 6.651 and 6.651 Å, with angles of 90.00, 90.00 and 90.00 degrees. The distinct sites, in fractional coordinates, are Cu at (0.000, 0.000, 0.000), Ge at (0.000, 0.000, 0.500) and Te at (0.250, 0.250, 0.250).

3.
Computed, not measured: a relaxed structure of NdSmFe2Si2 at the PBE level of DFT.

The total energy is -6.7441 eV/atom. For the calculated volume, the calculation gives 18.72 A^3/atom. Its total magnetic moment is 0.006 μB/cell.

The space group is P4mm (No. 99) and the conventional cell measures 4.046, 4.046 and 6.864 Å, with angles of 90.00, 90.00 and 90.00 degrees. The distinct sites, in fractional coordinates, are Nd at (0.000, 0.000, 0.000), Sm at (0.500, 0.500, 0.371), Fe at (0.000, 0.500, 0.680), Si at (0.000, 0.000, 0.515) and Si at (0.500, 0.500, 0.846).

4.
Computed, not measured: a relaxed structure of Cs2Te3W at the PBE level of DFT.

The calculation puts the energy above the most stable polymorph in this dataset at 0 meV per atom. The total energy is -4.5064 eV/atom. For the calculated volume, the calculation gives 47.32 A^3/atom. Its total magnetic moment is 3.665 μB/cell.

The space group is C2/m (No. 12) and the conventional cell measures 15.586, 8.064 and 11.280 Å, with angles of 90.00, 126.78 and 90.00 degrees. The distinct sites, in fractional coordinates, are Cs at (0.088, 0.000, 0.369), Cs at (0.198, 0.500, 0.815), Te at (0.000, 0.224, 0.000), Te at (0.104, 0.500, 0.386), Te at (0.212, 0.000, 0.784) and W at (0.096, 0.500, 0.149).

Question: Among the records above, which one has the lowest calculated volume?
Answer: NdSmFe2Si2